Here is crystalline TiZnNF2 at its relaxed geometry from Alexandria via LeMat-Bulk. Energies are from GGA-PBE.

Cell lengths 3.9627, 3.9627, 4.0251 Å; angles 90.00, 90.00, 90.00 degrees
Space group P4/mmm (No. 123)
Asymmetric unit:
Ti 0.0000 0.0000 0.0000 x1
Zn 0.5000 0.5000 0.5000 x1
N 0.0000 0.0000 0.5000 x1
F 0.0000 0.5000 0.0000 x2

density = 4.3 Mg/m³
energy relative to the lowest polymorph listed for this composition = 0.000 eV/atom
DOS at the Fermi energy = 1.79 states/eV/cell
E_form (uncorrected) = -7.3 eV per formula unit